Record 1
An optimized crystal structure of VAsC3. Source: the Alexandria database, functional GGA-PBE.

The structure belongs to space group Pm-3m (No. 221); the cell edges are 3.953, 3.953 and 3.953 Å and the angles 90.00°, 90.00° and 90.00°. Symmetry generates all atoms from V at (0.000, 0.000, 0.000), As at (0.500, 0.500, 0.500) and C at (0.000, 0.000, 0.500).

The value obtained for the energy of formation is 9.87 eV/f.u. As for the magnetization: 0.000 μB/atom. Its polymorph energy (0 for the lowest one) is 0 meV/atom.

Record 2
An optimized crystal structure of Li3AgN. Source: the Alexandria database, functional GGA-PBE.

The structure belongs to space group Pm-3m (No. 221); the cell edges are 3.992, 3.992 and 3.992 Å and the angles 90.00°, 90.00° and 90.00°. Symmetry generates all atoms from Li at (0.000, 0.000, 0.500), Ag at (0.500, 0.500, 0.500) and N at (0.000, 0.000, 0.000).

For the uncorrected formation energy, the calculation gives -0.15 eV/atom. As for the magnetization: 0.000 μB/atom. Its polymorph energy (0 for the lowest one) is 0 meV/atom.

Record 3
An optimized crystal structure of Ac2La2Nd. Source: the Alexandria database, functional GGA-PBE.

The structure belongs to space group Cmmm (No. 65); the cell edges are 5.804, 18.025 and 3.787 Å and the angles 90.00°, 90.00° and 90.00°. Symmetry generates all atoms from Ac at (0.000, 0.106, 0.000), La at (0.000, 0.301, 0.500) and Nd at (0.000, 0.500, 0.500).

The value obtained for the energy of formation is 0.20 eV/f.u. As for the magnetization: 0.000 μB/atom. Its polymorph energy (0 for the lowest one) is 0 meV/atom.